--- i ---
Entry from the Open Quantum Materials Database: a relaxed structure of HgAu7 (PBE).

Cell lengths 2.902, 2.902, 45.309 Å; angles 90.00, 90.00, 90.00 degrees
Space group P4/nmm (No. 129, origin choice 2)
Asymmetric unit:
Hg1 0.250 0.250 0.142 [2 per cell]
Au1 0.250 0.250 0.245 [2 per cell]
Au2 0.250 0.250 0.338 [2 per cell]
Au3 0.250 0.250 0.431 [2 per cell]
Au4 0.250 0.250 0.523 [2 per cell]
Au5 0.250 0.250 0.616 [2 per cell]
Au6 0.250 0.250 0.708 [2 per cell]
Au7 0.250 0.250 0.802 [2 per cell]

Results
Calculated density (Mg/m³): 13.74

--- ii ---
Entry from the Open Quantum Materials Database: a relaxed structure of HgAu7 (PBE).

Cell lengths 2.881, 3.921, 34.329 Å; angles 90.00, 90.00, 90.00 degrees
Space group Pmmn (No. 59, origin choice 2)
Asymmetric unit:
Hg1 0.250 0.250 0.145 [2 per cell]
Au1 0.250 0.250 0.247 [2 per cell]
Au2 0.250 0.250 0.339 [2 per cell]
Au3 0.250 0.250 0.431 [2 per cell]
Au4 0.250 0.250 0.523 [2 per cell]
Au5 0.250 0.250 0.615 [2 per cell]
Au6 0.250 0.250 0.707 [2 per cell]
Au7 0.250 0.250 0.800 [2 per cell]

Results
Calculated density (Mg/m³): 13.52

It is i that is most stable; the runner-up trails by 0.012 eV/atom.

--- i ---
Entry from the Open Quantum Materials Database: a relaxed structure of NpHgAu (PBE).

Cell lengths 6.915, 6.915, 6.915 Å; angles 90.00, 90.00, 90.00 degrees
Space group F-43m (No. 216)
Asymmetric unit:
Np1 0.000 0.000 0.000 [4 per cell]
Hg1 0.250 0.250 0.250 [4 per cell]
Au1 0.250 0.250 0.750 [4 per cell]

Results
Calculated density (Mg/m³): 12.75

--- ii ---
Entry from the Open Quantum Materials Database: a relaxed structure of NpHgAu (PBE).

Cell lengths 6.909, 6.909, 6.909 Å; angles 90.00, 90.00, 90.00 degrees
Space group F-43m (No. 216)
Asymmetric unit:
Np1 0.000 0.000 0.000 [4 per cell]
Hg1 0.250 0.250 0.750 [4 per cell]
Au1 0.000 0.000 0.500 [4 per cell]

Results
Calculated density (Mg/m³): 12.78

It is ii that is most stable; the runner-up trails by 0.059 eV/atom.

--- i ---
Entry from the Open Quantum Materials Database: a relaxed structure of HgPAuO (PBE).

Cell lengths 3.725, 7.440, 5.483 Å; angles 90.00, 90.00, 90.00 degrees
Space group Pmc2_1 (No. 26)
Asymmetric unit:
Hg1 0.000 0.166 0.000 [2 per cell]
P1 0.500 0.387 0.882 [2 per cell]
Au1 0.500 0.309 0.454 [2 per cell]
O1 0.000 0.124 0.455 [2 per cell]

Results
Calculated density (Mg/m³): 9.72

--- ii ---
Entry from the Open Quantum Materials Database: a relaxed structure of HgPAuO (PBE).

Cell lengths 4.479, 4.479, 8.113 Å; angles 90.00, 90.00, 90.00 degrees
Space group P4/nmm (No. 129, origin choice 2)
Asymmetric unit:
Hg1 0.250 0.250 0.048 [2 per cell]
P1 0.250 0.250 0.632 [2 per cell]
Au1 0.250 0.750 0.500 [2 per cell]
O1 0.250 0.750 0.000 [2 per cell]

Results
Calculated density (Mg/m³): 9.07

--- iii ---
Entry from the Open Quantum Materials Database: a relaxed structure of HgPAuO (PBE).

Cell lengths 3.208, 7.095, 6.477 Å; angles 90.00, 90.00, 90.00 degrees
Space group Pmc2_1 (No. 26)
Asymmetric unit:
Hg1 0.000 0.185 0.000 [2 per cell]
P1 0.000 0.408 0.291 [2 per cell]
Au1 0.500 0.271 0.516 [2 per cell]
O1 0.500 0.087 0.765 [2 per cell]

Results
Calculated density (Mg/m³): 10.01

--- iv ---
Entry from the Open Quantum Materials Database: a relaxed structure of HgPAuO (PBE).

Cell lengths 4.346, 4.346, 9.081 Å; angles 90.00, 90.00, 90.00 degrees
Space group P4/nmm (No. 129, origin choice 2)
Asymmetric unit:
Hg1 0.250 0.750 0.000 [2 per cell]
P1 0.250 0.250 0.169 [2 per cell]
Au1 0.250 0.250 0.428 [2 per cell]
O1 0.250 0.750 0.500 [2 per cell]

Results
Calculated density (Mg/m³): 8.61

It is iii that is most stable; the runner-up trails by 0.051 eV/atom.

--- i ---
Entry from the Open Quantum Materials Database: a relaxed structure of TlHgAu (PBE).

Cell lengths 6.909, 6.909, 6.909 Å; angles 90.00, 90.00, 90.00 degrees
Space group F-43m (No. 216)
Asymmetric unit:
Tl1 0.000 0.000 0.000 [4 per cell]
Hg1 0.250 0.250 0.250 [4 per cell]
Au1 0.250 0.250 0.750 [4 per cell]

Results
Calculated density (Mg/m³): 12.12

--- ii ---
Entry from the Open Quantum Materials Database: a relaxed structure of TlHgAu (PBE).

Cell lengths 4.192, 5.799, 7.043 Å; angles 91.74, 107.24, 110.75 degrees
Space group P-1 (No. 2)
Asymmetric unit:
Tl1 0.238 0.318 0.160 [2 per cell]
Hg1 0.103 0.759 0.446 [2 per cell]
Au1 0.476 0.121 0.828 [2 per cell]

Results
Calculated density (Mg/m³): 13.23

It is ii that is most stable; the runner-up trails by 0.222 eV/atom.